NdCuSbP | OQMD via LeMat-Bulk | PBE-GGA | relaxed; E above lowest polymorph = 154 meV/atom; space-group type = P4/nmm
1.0
-1.238 -3.734 -0.975
2.666 -0.087 -3.051
7.237 -4.081 6.440
Cu Nd P Sb
2 2 2 2
Direct
0.000 0.000 0.500 Cu
0.500 0.500 0.500 Cu
0.500 0.000 0.210 Nd
0.000 0.500 0.790 Nd
0.000 0.000 0.000 P
0.500 0.500 0.000 P
0.000 0.500 0.340 Sb
0.500 0.000 0.660 Sb



TbNdCu2P4 | OQMD via LeMat-Bulk | PBE-GGA | relaxed; uncorrected energy = -5.6672 eV/atom; space-group type = P4mm
1.0
-1.986 2.250 2.279
-3.009 -0.392 -2.235
-2.885 -7.884 5.269
Cu Nd P Tb
2 1 4 1
Direct
0.500 0.000 0.504 Cu
0.000 0.500 0.504 Cu
0.500 0.500 0.231 Nd
0.000 0.000 0.355 P
0.500 0.500 0.655 P
0.500 0.000 0.993 P
0.000 0.500 0.993 P
0.000 0.000 0.766 Tb



PrNd2Cu4Pb4 | OQMD via LeMat-Bulk | PBE-GGA | relaxed; uncorrected energy = -4.3124 eV/atom; space-group type = Immm
1.0
-2.346 3.582 7.693
2.346 -3.582 7.693
2.346 3.582 -7.693
Cu Nd Pb Pr
4 2 4 1
Direct
0.986 0.668 0.318 Cu
0.649 0.332 0.318 Cu
0.014 0.332 0.682 Cu
0.351 0.668 0.682 Cu
0.633 0.133 0.500 Nd
0.367 0.867 0.500 Nd
0.217 0.217 0.000 Pb
0.783 0.783 0.000 Pb
0.707 0.500 0.207 Pb
0.293 0.500 0.793 Pb
0.000 0.000 0.000 Pr



Pr2NdCu4Pb4 | OQMD via LeMat-Bulk | PBE-GGA | relaxed; uncorrected energy = -4.3157 eV/atom; space-group type = Immm
1.0
-2.342 3.553 7.664
2.342 -3.553 7.664
2.342 3.553 -7.664
Cu Nd Pb Pr
4 1 4 2
Direct
0.650 0.332 0.318 Cu
0.986 0.668 0.318 Cu
0.014 0.332 0.682 Cu
0.350 0.668 0.682 Cu
0.000 0.000 0.000 Nd
0.216 0.216 0.000 Pb
0.784 0.784 0.000 Pb
0.707 0.500 0.207 Pb
0.293 0.500 0.793 Pb
0.634 0.134 0.500 Pr
0.366 0.866 0.500 Pr